[1]
# BC5

An optimized crystal structure of BC5 (PBE-GGA, Alexandria via LeMat-Bulk).

Unit cell a=2.5895 b=4.5043 c=6.2856 alpha=91.70 beta=90.00 gamma=90.00
Sites, in units of the cell vectors:
C (0.0000, 0.0043, 0.9998)
C (0.5000, 0.8330, 0.5800)
C (0.0000, 0.3298, 0.5891)
C (0.5000, 0.1670, 0.6700)
C (0.5000, 0.1637, 0.9241)
C (0.0000, 0.9957, 0.2502)
C (0.0000, 0.6838, 0.9135)
C (0.0000, 0.3162, 0.3365)
C (0.5000, 0.8363, 0.3259)
C (0.0000, 0.6702, 0.6609)
B (0.5000, 0.5118, 0.9579)
B (0.5000, 0.4882, 0.2921)

Output
Calculated formation energy   293 meV/atom
Symmetry   P2/m
E above lowest polymorph   0.50 eV/f.u.

[2]
# Nb3ReS

An optimized crystal structure of Nb3ReS (PBE-GGA, Alexandria via LeMat-Bulk).

Unit cell a=4.5132 b=4.5132 c=4.5132 alpha=90.00 beta=90.00 gamma=90.00
Sites, in units of the cell vectors:
Re (0.5000, 0.5000, 0.5000)
Nb (0.0000, 0.5000, 0.0000)
Nb (0.0000, 0.0000, 0.5000)
Nb (0.5000, 0.0000, 0.0000)
S (0.0000, 0.0000, 0.0000)

Output
Energy relative to the elements, uncorrected   2.15 eV/f.u.
Symmetry   Pm-3m
E above lowest polymorph   0.00 eV/f.u.

[3]
# Ce2Zn5Cu12

An optimized crystal structure of Ce2Zn5Cu12 (PBE-GGA, Alexandria via LeMat-Bulk).

Unit cell a=6.5921 b=6.5921 c=6.5921 alpha=83.14 beta=83.14 gamma=83.14
Sites, in units of the cell vectors:
Cu (0.1529, 0.6536, 0.6536)
Cu (0.6536, 0.6536, 0.1529)
Cu (0.7005, 0.2995, 0.0000)
Cu (0.2995, 0.7005, 0.0000)
Cu (0.3464, 0.8471, 0.3464)
Cu (0.0000, 0.7005, 0.2995)
Cu (0.7005, 0.0000, 0.2995)
Cu (0.3464, 0.3464, 0.8471)
Cu (0.8471, 0.3464, 0.3464)
Cu (0.0000, 0.2995, 0.7005)
Cu (0.6536, 0.1529, 0.6536)
Cu (0.2995, 0.0000, 0.7005)
Zn (0.1004, 0.1004, 0.1004)
Zn (0.8996, 0.8996, 0.8996)
Zn (0.0000, 0.5000, 0.0000)
Zn (0.0000, 0.0000, 0.5000)
Zn (0.5000, 0.0000, 0.0000)
Ce (0.6459, 0.6459, 0.6459)
Ce (0.3541, 0.3541, 0.3541)

Output
Calculated formation energy   -111 meV/atom
Symmetry   R-3m

[4]
# CaAc2Sm3As6

An optimized crystal structure of CaAc2Sm3As6 (PBE-GGA, Alexandria via LeMat-Bulk).

Unit cell a=4.3404 b=8.7089 c=9.7424 alpha=103.63 beta=102.87 gamma=90.00
Sites, in units of the cell vectors:
As (0.6634, 0.5924, 0.3268)
As (0.0051, 0.7449, 0.0103)
As (0.3317, 0.9293, 0.6634)
As (0.3366, 0.4076, 0.6732)
As (0.9949, 0.2551, 0.9897)
As (0.6683, 0.0707, 0.3366)
Ac (0.8361, 0.6727, 0.6722)
Ac (0.1639, 0.3273, 0.3278)
Ca (0.5000, 0.0000, 0.0000)
Sm (0.5000, 0.5000, 0.0000)
Sm (0.8335, 0.1657, 0.6670)
Sm (0.1665, 0.8343, 0.3330)

Output
Calculated formation energy   -1383 meV/atom
Symmetry   C2/m

[5]
# RbBN2

An optimized crystal structure of RbBN2 (PBE-GGA, Alexandria via LeMat-Bulk).

Unit cell a=6.4588 b=6.4588 c=6.4588 alpha=40.64 beta=40.64 gamma=40.64
Sites, in units of the cell vectors:
N (0.0753, 0.0753, 0.0753)
N (0.9247, 0.9247, 0.9247)
B (0.0000, 0.0000, 0.0000)
Rb (0.5000, 0.5000, 0.5000)

Output
Energy relative to the elements, uncorrected   1.05 eV/f.u.
Symmetry   R-3m

[6]
# Dy3Ho4Er5

An optimized crystal structure of Dy3Ho4Er5 (PBE-GGA, Alexandria via LeMat-Bulk).

Unit cell a=7.0297 b=11.1013 c=12.6580 alpha=151.29 beta=56.34 gamma=129.26
Sites, in units of the cell vectors:
Dy (0.0000, 0.0000, 0.5000)
Dy (0.4166, 0.8338, 0.6670)
Dy (0.5834, 0.1662, 0.3330)
Er (0.2500, 0.4998, 0.9998)
Er (0.6668, 0.3336, 0.1666)
Er (0.3332, 0.6664, 0.8334)
Er (0.5000, 0.0000, 0.5000)
Er (0.7500, 0.5002, 0.0002)
Ho (0.1668, 0.3341, 0.1672)
Ho (0.0833, 0.1660, 0.3329)
Ho (0.8332, 0.6659, 0.8328)
Ho (0.9167, 0.8340, 0.6671)

Output
Calculated formation energy   20 meV/atom
Symmetry   P-1
E above lowest polymorph   0.00 eV/f.u.

[7]
# Sr2TlHg

An optimized crystal structure of Sr2TlHg (PBE-GGA, Alexandria via LeMat-Bulk).

Unit cell a=9.7793 b=9.7793 c=9.7793 alpha=25.39 beta=25.39 gamma=25.39
Sites, in units of the cell vectors:
Sr (0.4964, 0.4964, 0.4964)
Sr (0.0036, 0.0036, 0.0036)
Hg (0.7500, 0.7500, 0.7500)
Tl (0.2500, 0.2500, 0.2500)

Output
Calculated formation energy   -325 meV/atom
Symmetry   R-3m

[8]
# HoSc2Ru2

An optimized crystal structure of HoSc2Ru2 (PBE-GGA, Alexandria via LeMat-Bulk).

Unit cell a=3.2591 b=3.3074 c=9.6251 alpha=80.11 beta=90.00 gamma=90.00
Sites, in units of the cell vectors:
Ru (0.5000, 0.5971, 0.8057)
Ru (0.5000, 0.4029, 0.1943)
Ho (0.0000, 0.0000, 0.0000)
Sc (0.0000, 0.1709, 0.6581)
Sc (0.0000, 0.8291, 0.3419)

Output
Calculated formation energy   -400 meV/atom
Symmetry   Cmmm

no.,E_tot (eV per atom),theoretical density (Mg/m³)
1,-8.507,3.21
2,-8.926,8.98
3,-3.658,8.10
4,-5.739,6.65
5,-5.811,2.00
6,-4.557,8.96
7,-1.833,6.37
8,-7.559,7.42